(1)
{
  "formula": "Zn4PbW",
  "functional": "GGA-PBE",
  "state": "relaxed",
  "lattice": [[0.000, 3.677, 3.677], [3.677, 0.000, 3.677], [3.677, 3.677, 0.000]],
  "species": ["Zn", "Zn", "Zn", "Zn", "Pb", "W"],
  "fractional_positions": [[0.377, 0.377, 0.377], [0.377, 0.377, 0.869], [0.377, 0.869, 0.377], [0.869, 0.377, 0.377], [0.000, 0.000, 0.000], [0.750, 0.750, 0.750]],
  "volume_a3_per_atom": 16.6,
  "dos_ef_per_ev_cell": 4.72,
  "formation_enthalpy_0k_ev_per_atom": 0.485,
  "final_energy_ha_per_atom": -0.11544
}

(2)
{
  "formula": "Tb3Te3P",
  "functional": "GGA-PBE",
  "state": "relaxed",
  "lattice": [[4.399, -6.606, 0.000], [4.399, 6.606, 0.000], [-0.972, 0.000, 7.745]],
  "species": ["Tb", "Tb", "Tb", "Tb", "Tb", "Tb", "Te", "Te", "Te", "Te", "Te", "Te", "P", "P"],
  "fractional_positions": [[0.064, 0.064, 0.284], [0.186, 0.486, 0.785], [0.486, 0.186, 0.785], [0.514, 0.814, 0.215], [0.814, 0.514, 0.215], [0.936, 0.936, 0.716], [0.168, 0.832, 0.000], [0.252, 0.748, 0.500], [0.371, 0.371, 0.140], [0.629, 0.629, 0.860], [0.748, 0.252, 0.500], [0.832, 0.168, 0.000], [0.213, 0.213, 0.602], [0.787, 0.787, 0.398]],
  "volume_a3_per_atom": 32.2,
  "raw_formation_energy_ev_per_atom": -1.19,
  "final_energy_ha_per_atom": -0.19442
}

- Which formula does entry 2 have?
  Tb3Te3P

- Number 2 is which compound?
  Tb3Te3P